(1)
# Ba2LiReP6

A relaxed structure of Ba2LiReP6 (PBE-GGA, the Open Quantum Materials Database).

a b c (Å): 6.7413 6.7413 6.7413
angles (deg): 60.00 60.00 60.00
With the nearest neighbours (Å) after each atom.
Fractional positions:
Ba 0.2500 0.2500 0.2500  12 P 3.37
Ba 0.7500 0.7500 0.7500  12 P 3.37
Li 0.0000 0.0000 0.0000  6 P 2.38
Re 0.5000 0.5000 0.5000  6 P 2.38
P 0.2499 0.2499 0.7501  1 Li 2.38, 1 Re 2.38
P 0.2499 0.7501 0.2499  1 Li 2.38, 1 Re 2.38
P 0.2499 0.7501 0.7501  1 Li 2.38, 1 Re 2.38
P 0.7501 0.2499 0.2499  1 Li 2.38, 1 Re 2.38
P 0.7501 0.2499 0.7501  1 Li 2.38, 1 Re 2.38
P 0.7501 0.7501 0.2499  1 Li 2.38, 1 Re 2.38

Summary:
DFT total energy: -5.233 eV per atom
spin magnetization: 0.0 μB/cell

***

(2)
# CdSnTeO

A relaxed structure of CdSnTeO (PBE-GGA, the Open Quantum Materials Database).

a b c (Å): 4.1272 4.1272 11.8161
angles (deg): 90.00 90.00 90.00
With the nearest neighbours (Å) after each atom.
Fractional positions:
Cd 0.2500 0.7500 0.0000  4 Te 2.89, 4 Cd 2.92
Cd 0.7500 0.2500 0.0000  4 Te 2.89, 4 Cd 2.92
Sn 0.2500 0.2500 0.3992  1 O 2.02
Sn 0.7500 0.7500 0.6008  1 O 2.02
Te 0.2500 0.2500 0.8284  4 Cd 2.89, 1 O 3.06
Te 0.7500 0.7500 0.1716  4 Cd 2.89, 1 O 3.06
O 0.2500 0.2500 0.5697  1 Sn 2.02
O 0.7500 0.7500 0.4303  1 Sn 2.02

Summary:
DFT total energy: -3.700 eV per atom
energy relative to the lowest polymorph listed for this composition: 273 meV per atom